DFT (PBE) results for an optimized crystal structure of NbSbSI2.

The structure in CIF format:
```
data_NbSbSI2
_symmetry_space_group_name_H-M 'P 4/m m m'
_symmetry_Int_Tables_number 123
_symmetry_space_group_name_Hall '-P 4 2'
_cell_length_a 5.4395
_cell_length_b 5.4395
_cell_length_c 5.1982
_cell_angle_alpha 90.00
_cell_angle_beta 90.00
_cell_angle_gamma 90.00
loop_
_atom_site_label
_atom_site_type_symbol
_atom_site_fract_x
_atom_site_fract_y
_atom_site_fract_z
Nb1 Nb 0.0000 0.0000 0.0000
Sb1 Sb 0.5000 0.5000 0.0000
S1 S 0.5000 0.5000 0.5000
I1 I 0.0000 0.5000 0.5000
```

Energy above the lowest structure with this stoichiometry, meV per atom: 530.1
Total magnetization, μB per formula unit: 2.542